No. 1
# SrCaMo2

SrCaMo2 after structural relaxation (GGA-PBE, Alexandria).

a b c (Å): 6.256 6.256 6.256
angles (deg): 147.43 126.29 64.24
Sites, in units of the cell vectors:
Sr (0.000, 0.000, 0.000)
Ca (0.705, 0.205, 0.500)
Mo (0.277, 0.777, 0.500)
Mo (0.428, 0.428, 0.000)

Results
The energy relative to the elements comes out at 2.4 eV per formula unit. For the density of states at the Fermi level, the calculation gives 0.692 states/eV/atom. The calculation puts the uncorrected energy at -5.74 eV per atom.

---

No. 2
# Pm3DyS4

Pm3DyS4 after structural relaxation (GGA-PBE, Alexandria).

a b c (Å): 5.663 5.663 5.663
angles (deg): 90.00 90.00 90.00
Sites, in units of the cell vectors:
Pm (0.000, 0.000, 0.500)
Pm (0.000, 0.500, 0.000)
Pm (0.500, 0.000, 0.000)
Dy (0.500, 0.500, 0.500)
S (0.000, 0.000, 0.000)
S (0.000, 0.500, 0.500)
S (0.500, 0.000, 0.500)
S (0.500, 0.500, 0.000)

Results
Its formation energy from raw total energies is -2004.1 meV/atom. For the density of states at the Fermi level, the calculation gives 0.543 states/eV/atom. The calculation puts the uncorrected energy at -6.42 eV per atom.

---

No. 3
# CePu2Pa6

CePu2Pa6 after structural relaxation (GGA-PBE, Alexandria).

a b c (Å): 12.328 12.328 12.328
angles (deg): 158.79 158.79 30.17
Sites, in units of the cell vectors:
Ce (0.000, 0.000, 0.000)
Pu (0.315, 0.315, 0.000)
Pu (0.685, 0.685, 0.000)
Pa (0.118, 0.659, 0.000)
Pa (0.250, 0.750, 0.500)
Pa (0.341, 0.341, 0.459)
Pa (0.659, 0.118, 0.000)
Pa (0.750, 0.250, 0.500)
Pa (0.882, 0.882, 0.541)

Results
The energy relative to the elements comes out at 5.6 eV per formula unit. For the density of states at the Fermi level, the calculation gives 2.414 states/eV/atom. The calculation puts the uncorrected energy at -9.55 eV per atom.

---

No. 4
# KCaHfIr2

KCaHfIr2 after structural relaxation (GGA-PBE, Alexandria).

a b c (Å): 4.988 4.988 4.699
angles (deg): 90.00 90.00 90.00
Sites, in units of the cell vectors:
K (0.000, 0.000, 0.000)
Ca (0.000, 0.000, 0.500)
Hf (0.500, 0.500, 0.000)
Ir (0.000, 0.500, 0.500)
Ir (0.500, 0.000, 0.500)

Results
The energy relative to the elements comes out at 7.2 eV per formula unit. For the density of states at the Fermi level, the calculation gives 0.885 states/eV/atom. The calculation puts the uncorrected energy at -4.72 eV per atom.

---

No. 5
# Li2Pm2F7

Li2Pm2F7 after structural relaxation (GGA-PBE, Alexandria).

a b c (Å): 5.748 5.748 5.553
angles (deg): 104.24 104.24 85.03
Sites, in units of the cell vectors:
Li (0.178, 0.822, 0.000)
Li (0.822, 0.178, 0.000)
Pm (0.253, 0.253, 0.572)
Pm (0.747, 0.747, 0.428)
F (0.015, 0.571, 0.743)
F (0.041, 0.041, 0.761)
F (0.429, 0.985, 0.257)
F (0.500, 0.500, 0.500)
F (0.571, 0.015, 0.743)
F (0.959, 0.959, 0.239)
F (0.985, 0.429, 0.257)

Results
Its formation energy from raw total energies is -3439.7 meV/atom. For the density of states at the Fermi level, the calculation gives 0.082 states/eV/atom. The calculation puts the uncorrected energy at -5.84 eV per atom.

---

No. 6
# RbZnSnHg2

RbZnSnHg2 after structural relaxation (GGA-PBE, Alexandria).

a b c (Å): 6.012 6.012 5.238
angles (deg): 90.00 90.00 90.00
Sites, in units of the cell vectors:
Rb (0.000, 0.000, 0.000)
Zn (0.500, 0.500, 0.000)
Sn (0.500, 0.500, 0.500)
Hg (0.000, 0.500, 0.500)
Hg (0.500, 0.000, 0.500)

Results
The energy relative to the elements comes out at 0.1 eV per formula unit. For the density of states at the Fermi level, the calculation gives 0.594 states/eV/atom. The calculation puts the uncorrected energy at -1.34 eV per atom.

---

No. 7
# Ti6CdCo

Ti6CdCo after structural relaxation (GGA-PBE, Alexandria).

a b c (Å): 5.565 5.565 5.556
angles (deg): 107.99 107.99 107.96
Sites, in units of the cell vectors:
Ti (0.158, 0.728, 0.728)
Ti (0.271, 0.271, 0.839)
Ti (0.272, 0.842, 0.272)
Ti (0.728, 0.158, 0.728)
Ti (0.729, 0.729, 0.161)
Ti (0.842, 0.272, 0.272)
Cd (0.500, 0.500, 0.500)
Co (0.000, 0.000, 0.000)

Results
The energy relative to the elements comes out at 1.5 eV per formula unit. For the density of states at the Fermi level, the calculation gives 1.060 states/eV/atom. The calculation puts the uncorrected energy at -6.74 eV per atom.

---

No. 8
# LaPm12Ho5

LaPm12Ho5 after structural relaxation (GGA-PBE, Alexandria).

a b c (Å): 10.473 10.473 5.833
angles (deg): 90.02 90.02 108.87
Sites, in units of the cell vectors:
La (0.000, 0.000, 0.000)
Pm (0.028, 0.670, 0.005)
Pm (0.171, 0.529, 0.495)
Pm (0.203, 0.203, 0.551)
Pm (0.305, 0.305, 0.049)
Pm (0.330, 0.972, 0.995)
Pm (0.471, 0.829, 0.505)
Pm (0.529, 0.171, 0.495)
Pm (0.670, 0.028, 0.005)
Pm (0.695, 0.695, 0.951)
Pm (0.797, 0.797, 0.449)
Pm (0.829, 0.471, 0.505)
Pm (0.972, 0.330, 0.995)
Ho (0.139, 0.861, 0.500)
Ho (0.362, 0.638, 0.000)
Ho (0.500, 0.500, 0.500)
Ho (0.638, 0.362, 0.000)
Ho (0.861, 0.139, 0.500)

Results
The energy relative to the elements comes out at 1.5 eV per formula unit. For the density of states at the Fermi level, the calculation gives 1.511 states/eV/atom. The calculation puts the uncorrected energy at -4.63 eV per atom.

---

No. 9
# KMnAl2S

KMnAl2S after structural relaxation (GGA-PBE, Alexandria).

a b c (Å): 5.340 5.340 4.204
angles (deg): 90.00 90.00 90.00
Sites, in units of the cell vectors:
K (0.000, 0.000, 0.000)
Mn (0.500, 0.500, 0.000)
Al (0.000, 0.500, 0.500)
Al (0.500, 0.000, 0.500)
S (0.500, 0.500, 0.500)

Results
Its formation energy from raw total energies is 483.0 meV/atom. For the density of states at the Fermi level, the calculation gives 0.783 states/eV/atom. The calculation puts the uncorrected energy at -3.89 eV per atom.

---

No. 10
# HgSeI2

HgSeI2 after structural relaxation (GGA-PBE, Alexandria).

a b c (Å): 5.487 5.487 5.487
angles (deg): 60.00 60.00 60.00
Sites, in units of the cell vectors:
Hg (0.000, 0.000, 0.000)
Se (0.500, 0.500, 0.500)
I (0.250, 0.250, 0.250)
I (0.750, 0.750, 0.750)

Results
Its formation energy from raw total energies is 474.8 meV/atom. For the density of states at the Fermi level, the calculation gives 0.928 states/eV/atom. The calculation puts the uncorrected energy at -1.25 eV per atom.

---

No. 11
# AcSb2H2Pd6

AcSb2H2Pd6 after structural relaxation (GGA-PBE, Alexandria).

a b c (Å): 5.547 5.590 7.323
angles (deg): 73.39 73.85 62.89
Sites, in units of the cell vectors:
Ac (0.000, 0.000, 0.000)
Sb (0.403, 0.394, 0.328)
Sb (0.597, 0.606, 0.672)
H (0.275, 0.275, 0.785)
H (0.725, 0.725, 0.215)
Pd (0.093, 0.612, 0.651)
Pd (0.337, 0.345, 0.998)
Pd (0.385, 0.907, 0.341)
Pd (0.615, 0.093, 0.659)
Pd (0.663, 0.655, 0.002)
Pd (0.907, 0.388, 0.349)

Results
For the density of states at the Fermi level, the calculation gives 0.363 states/eV/atom. The calculation puts the uncorrected energy at -5.05 eV per atom.

---

No. 12
# GaMoP3

GaMoP3 after structural relaxation (GGA-PBE, Alexandria).

a b c (Å): 4.536 4.536 4.536
angles (deg): 90.00 90.00 90.00
Sites, in units of the cell vectors:
Ga (0.000, 0.000, 0.000)
Mo (0.500, 0.500, 0.500)
P (0.000, 0.000, 0.500)
P (0.000, 0.500, 0.000)
P (0.500, 0.000, 0.000)

Results
The energy relative to the elements comes out at 7.0 eV per formula unit. For the density of states at the Fermi level, the calculation gives 1.837 states/eV/atom. The calculation puts the uncorrected energy at -4.61 eV per atom.